Entry 1:
Entry from Alexandria via LeMat-Bulk: a relaxed structure of LaGe2As (PBE).

Cell lengths 8.0277, 8.0277, 6.0178 Å; angles 90.00, 90.00, 90.00 degrees
Closest atoms and distances in Å follow each position.
Space group I-42d (No. 122)
Unique sites:
La: 0.0000 0.0000 0.0000 x4  2 As 3.01, 4 Ge 3.18
Ge: 0.2082 0.7500 0.6250 x8  2 As 2.72
As: 0.0000 0.0000 0.5000 x4  4 Ge 2.72, 2 La 3.01

Results
As for the size of the total moment: 0.0 μB per cell. For the formation enthalpy at 0 K, the calculation gives -325.4 meV per atom.

***

Entry 2:
Entry from Alexandria via LeMat-Bulk: a relaxed structure of La5Ge2As (PBE).

Cell lengths 8.0967, 8.0967, 13.8673 Å; angles 90.00, 90.00, 90.00 degrees
Closest atoms and distances in Å follow each position.
Space group I4/mcm (No. 140)
Unique sites:
La: 0.0000 0.0000 0.0000 x4  4 Ge 3.20, 2 As 3.47
La: 0.1721 0.3279 0.1489 x16  3 Ge 3.11-3.19, 2 As 3.31, 1 La 3.32
Ge: 0.1247 0.3753 0.5000 x8  1 Ge 2.86, 6 La 3.11-3.19
As: 0.0000 0.0000 0.2500 x4  10 La 3.31-3.47

Results
As for the size of the total moment: 0.0 μB per cell. For the formation enthalpy at 0 K, the calculation gives -825.8 meV per atom.